DFT (PBE) results for a relaxed structure of Dy8BTe4Se3.

Summary:
- DOS(E_F): 0.410 states/eV/atom
- Energy relative to the elements, uncorrected: -1.409 eV/atom
- Magnetic moment: 0.00 Bohr magnetons per cell
- Volume: 26.147 Å³/atom
- E_tot: -89.07 eV per cell
- Space-group type: R-3m

a = 8.507 Å, b = 8.507 Å, c = 8.507 Å
α = 58.30°, β = 58.30°, γ = 58.30°
Fractional positions:
Dy1 0.240 0.240 0.240
Dy2 0.266 0.720 0.720
Dy3 0.280 0.280 0.734
Dy4 0.280 0.734 0.280
Dy5 0.720 0.266 0.720
Dy6 0.720 0.720 0.266
Dy7 0.734 0.280 0.280
Dy8 0.760 0.760 0.760
B1 0.500 0.500 0.500
Te1 0.000 0.000 0.000
Te2 0.000 0.500 0.500
Te3 0.500 0.000 0.500
Te4 0.500 0.500 0.000
Se1 0.000 0.000 0.500
Se2 0.000 0.500 0.000
Se3 0.500 0.000 0.000

DFT (PBE) results for a relaxed structure of Dy5Si2B8.

Summary:
- DOS(E_F): 0.339 states/eV/atom
- Energy relative to the elements, uncorrected: -0.675 eV/atom
- Magnetic moment: 0.00 Bohr magnetons per cell
- Volume: 14.128 Å³/atom
- E_tot: -194.79 eV per cell
- Space-group type: P4/mbm

a = 7.233 Å, b = 7.233 Å, c = 8.101 Å
α = 90.00°, β = 90.00°, γ = 90.00°
Fractional positions:
Dy1 0.000 0.000 0.000
Dy2 0.181 0.319 0.276
Dy3 0.181 0.319 0.724
Dy4 0.319 0.819 0.276
Dy5 0.319 0.819 0.724
Dy6 0.500 0.500 0.000
Dy7 0.681 0.181 0.276
Dy8 0.681 0.181 0.724
Dy9 0.819 0.681 0.276
Dy10 0.819 0.681 0.724
Si1 0.115 0.615 0.000
Si2 0.385 0.115 0.000
Si3 0.615 0.885 0.000
Si4 0.885 0.385 0.000
B1 0.000 0.000 0.338
B2 0.000 0.000 0.662
B3 0.039 0.828 0.500
B4 0.090 0.590 0.500
B5 0.172 0.039 0.500
B6 0.328 0.539 0.500
B7 0.410 0.090 0.500
B8 0.461 0.328 0.500
B9 0.500 0.500 0.338
B10 0.500 0.500 0.662
B11 0.539 0.672 0.500
B12 0.590 0.910 0.500
B13 0.672 0.461 0.500
B14 0.828 0.961 0.500
B15 0.910 0.410 0.500
B16 0.961 0.172 0.500

DFT (PBE) results for a relaxed structure of Dy2Si3B.

Summary:
- DOS(E_F): 0.510 states/eV/atom
- Energy relative to the elements, uncorrected: -0.538 eV/atom
- Magnetic moment: 0.00 Bohr magnetons per cell
- Volume: 17.083 Å³/atom
- E_tot: -70.76 eV per cell
- Space-group type: Fmmm

a = 7.712 Å, b = 7.558 Å, c = 5.614 Å
α = 69.90°, β = 66.97°, γ = 43.13°
Fractional positions:
Dy1 0.244 0.756 0.244
Dy2 0.250 0.250 0.250
Dy3 0.750 0.750 0.750
Dy4 0.756 0.244 0.756
Si1 0.177 0.177 0.823
Si2 0.180 0.641 0.820
Si3 0.359 0.820 0.641
Si4 0.641 0.180 0.359
Si5 0.820 0.359 0.180
Si6 0.823 0.823 0.177
B1 0.333 0.333 0.667
B2 0.667 0.667 0.333